Zn2TeMoC | GGA-PBEsol | relaxed

Cell and atoms, written as POSCAR:
```
Zn2TeMoC
1.0
-0.300 3.464 1.758
-3.615 -0.895 1.147
2.014 -2.182 4.644
C Mo Te Zn
1 1 1 2
direct
0.000 0.000 0.000
0.500 0.500 0.500
0.000 0.000 0.500
0.000 0.500 0.000
0.500 0.000 0.000
```

The space group is P4/mmm, No. 123. The value obtained for the formation energy without anion corrections is 1.056 eV per atom.

Cd2AsRu | GGA-PBEsol | relaxed

Cell and atoms, written as POSCAR:
```
Cd2AsRu
1.0
-2.523 -1.463 -1.285
2.183 0.101 -4.400
0.938 -3.993 2.704
Ru As Cd
1 1 2
direct
0.500 0.000 0.000
0.500 0.500 0.500
0.000 0.500 0.000
0.000 0.000 0.500
```

The formation energy is 0.322 eV/atom. The space group is Cmmm, No. 65.

SbTeW3 | GGA-PBEsol | relaxed

Cell and atoms, written as POSCAR:
```
SbTeW3
1.0
-2.075 -1.928 3.968
4.287 -1.918 1.310
1.042 4.046 2.512
Sb Te W
1 1 3
direct
0.500 0.500 0.500
0.000 0.000 0.000
0.000 0.500 0.000
0.000 0.000 0.500
0.500 0.000 0.000
```

The space group is Pm-3m, No. 221. As for the relative energy among the computed polymorphs: 0.000 eV per atom. The value obtained for the formation energy without anion corrections is 2.485 eV per atom.

WBr | GGA-PBEsol | relaxed

Cell and atoms, written as POSCAR:
```
WBr
1.0
3.050 0.000 0.000
0.000 3.371 0.000
0.000 0.000 8.541
Br W
2 2
direct
0.500 0.500 0.178
0.000 0.000 0.822
0.500 0.000 0.582
0.000 0.500 0.418
```

The space group is Pmmn, No. 59. As for the relative energy among the computed polymorphs: 0.000 eV per atom. The value obtained for the formation energy without anion corrections is 0.146 eV per atom.

LiSiAs | GGA-PBEsol | relaxed

Cell and atoms, written as POSCAR:
```
LiSiAs
1.0
3.576 0.000 0.000
-1.788 3.097 0.000
0.000 0.000 5.251
As Si Li
1 1 1
direct
0.000 0.000 0.044
0.333 0.667 0.280
0.667 0.333 0.675
```

The space group is P3m1, No. 156. As for the relative energy among the computed polymorphs: 0.000 eV per atom. The value obtained for the formation energy without anion corrections is -0.198 eV per atom.

LiLaO3 | GGA-PBEsol | relaxed

Cell and atoms, written as POSCAR:
```
LiLaO3
1.0
-3.340 0.937 -1.437
-0.114 -3.260 -1.860
-1.712 -1.611 2.929
Li O La
1 3 1
direct
0.000 0.000 0.000
0.000 0.500 0.000
0.000 0.000 0.500
0.500 0.000 0.000
0.500 0.500 0.500
```

The space group is Pm-3m, No. 221. The value obtained for the formation energy without anion corrections is -2.002 eV per atom.

For the records above, the corresponding energy values read -4.5646, -4.0958, -7.4161, -7.6927, -4.4714, -6.6145 eV per atom.